The following is a DFT calculation (PBE) of a relaxed SrTcNi2 crystal.

The calculation puts the relative energy among the computed polymorphs at 311 meV/atom. The density of states at the Fermi level comes out at 1.053 states/eV/atom. The magnetization is 0.0 μB per formula unit.

It has space group Pm (No. 6), with a = 2.833 Å, b = 4.151 Å, c = 6.071 Å, α = 90.00°, β = 103.41° and γ = 90.00°. The asymmetric unit holds Sr at (0.000, 0.000, 0.000), Tc at (0.699, 0.500, 0.397), Ni at (0.257, 0.000, 0.508) and Ni at (0.370, 0.500, 0.738).